The following is a PBE calculation of a relaxed structure of Pr3Tm4Zn, from Alexandria.

Cell lengths 3.5787, 3.5787, 18.9035 Å; angles 90.00, 90.00, 90.00 degrees
Fractional coordinates of all 8 atoms:
Pr1 0.0000 0.0000 0.0000
Pr2 0.0000 0.0000 0.2706
Pr3 0.0000 0.0000 0.7294
Tm1 0.5000 0.5000 0.1350
Tm2 0.5000 0.5000 0.4084
Tm3 0.5000 0.5000 0.5916
Tm4 0.5000 0.5000 0.8650
Zn1 0.0000 0.0000 0.5000

Calculated values
Magnetization (μB per formula unit): 0.0
ΔE_f (eV per atom): -0.070
Calculated total energy (eV/atom): -4.258
Symmetry: P4/mmm, No. 123
D(E_F) (states/eV/cell): 9.8

The following is a PBE calculation of a relaxed structure of Pr2Tm2Zn3, from Alexandria.

Cell lengths 5.0052, 5.0064, 8.8590 Å; angles 73.77, 73.68, 60.14 degrees
Fractional coordinates of all 7 atoms:
Pr1 0.1258 0.1254 0.1234
Pr2 0.8742 0.8746 0.8766
Tm1 0.3739 0.3741 0.3778
Tm2 0.6261 0.6259 0.6222
Zn1 0.0000 0.0000 0.5000
Zn2 0.2560 0.2559 0.7315
Zn3 0.7440 0.7441 0.2685

Calculated values
Magnetization (μB per formula unit): 0.0
ΔE_f (eV per atom): -0.199
Calculated total energy (eV/atom): -3.388
Symmetry: P-1, No. 2
D(E_F) (states/eV/cell): 9.4

The following is a PBE calculation of a relaxed structure of Pr2TmZn, from Alexandria.

Cell lengths 10.7172, 10.7172, 10.7172 Å; angles 19.76, 19.76, 19.76 degrees
Fractional coordinates of all 4 atoms:
Pr1 0.0000 0.0000 0.0000
Pr2 0.1845 0.1845 0.1845
Tm1 0.7592 0.7592 0.7592
Zn1 0.5924 0.5924 0.5924

Calculated values
Energy above the most stable polymorph in this dataset (meV/atom): 145
Magnetization (μB per formula unit): 0.0
ΔE_f (eV per atom): -0.008
Calculated total energy (eV/atom): -3.834
Symmetry: R3m, No. 160
D(E_F) (states/eV/cell): 5.5

The following is a PBE calculation of a relaxed structure of Pr4TmZn, from Alexandria.

Cell lengths 3.6894, 3.6894, 13.9935 Å; angles 90.00, 90.00, 90.00 degrees
Fractional coordinates of all 6 atoms:
Pr1 0.0000 0.0000 0.1330
Pr2 0.0000 0.0000 0.8670
Pr3 0.5000 0.5000 0.3228
Pr4 0.5000 0.5000 0.6772
Tm1 0.0000 0.0000 0.5000
Zn1 0.5000 0.5000 0.0000

Calculated values
Magnetization (μB per formula unit): 0.0
ΔE_f (eV per atom): -0.088
Calculated total energy (eV/atom): -4.231
Symmetry: P4/mmm, No. 123
D(E_F) (states/eV/cell): 6.9

The following is a PBE calculation of a relaxed structure of PrTm2Zn, from Alexandria.

Cell lengths 10.4953, 10.4953, 10.4953 Å; angles 19.56, 19.56, 19.56 degrees
Fractional coordinates of all 4 atoms:
Pr1 0.0000 0.0000 0.0000
Tm1 0.2375 0.2375 0.2375
Tm2 0.7625 0.7625 0.7625
Zn1 0.5000 0.5000 0.5000

Calculated values
Energy above the most stable polymorph in this dataset (meV/atom): 94
Magnetization (μB per formula unit): 0.0
ΔE_f (eV per atom): -0.076
Calculated total energy (eV/atom): -3.825
Symmetry: R-3m, No. 166
D(E_F) (states/eV/cell): 3.0

The following is a PBE calculation of a relaxed structure of PrTmZn10, from Alexandria.

Cell lengths 4.2313, 5.3533, 9.2395 Å; angles 90.00, 90.00, 90.00 degrees
Fractional coordinates of all 12 atoms:
Pr1 0.0000 0.0000 0.0000
Tm1 0.0000 0.5000 0.5000
Zn1 0.0000 0.0000 0.3402
Zn2 0.0000 0.0000 0.6598
Zn3 0.0000 0.5000 0.1736
Zn4 0.0000 0.5000 0.8264
Zn5 0.5000 0.0000 0.5000
Zn6 0.5000 0.2524 0.2544
Zn7 0.5000 0.2524 0.7456
Zn8 0.5000 0.5000 0.0000
Zn9 0.5000 0.7476 0.2544
Zn10 0.5000 0.7476 0.7456

Calculated values
Magnetization (μB per formula unit): 0.0
ΔE_f (eV per atom): -0.274
Calculated total energy (eV/atom): -2.106
Symmetry: Pmmm, No. 47
D(E_F) (states/eV/cell): 5.2

The following is a PBE calculation of a relaxed structure of PrTm2Zn3, from Alexandria.

Cell lengths 3.5751, 3.5751, 10.8201 Å; angles 90.00, 90.00, 90.00 degrees
Fractional coordinates of all 6 atoms:
Pr1 0.0000 0.0000 0.0000
Tm1 0.0000 0.0000 0.3391
Tm2 0.0000 0.0000 0.6609
Zn1 0.5000 0.5000 0.1863
Zn2 0.5000 0.5000 0.5000
Zn3 0.5000 0.5000 0.8137

Calculated values
Magnetization (μB per formula unit): 0.0
ΔE_f (eV per atom): -0.325
Calculated total energy (eV/atom): -3.249
Symmetry: P4/mmm, No. 123
D(E_F) (states/eV/cell): 6.4

The following is a PBE calculation of a relaxed structure of Pr3TmZn2, from Alexandria.

Cell lengths 3.7082, 3.7082, 12.3310 Å; angles 90.00, 90.00, 90.00 degrees
Fractional coordinates of all 6 atoms:
Pr1 0.0000 0.0000 0.0000
Pr2 0.0000 0.0000 0.2976
Pr3 0.0000 0.0000 0.7024
Tm1 0.5000 0.5000 0.5000
Zn1 0.5000 0.5000 0.1505
Zn2 0.5000 0.5000 0.8495

Calculated values
Energy above the most stable polymorph in this dataset (meV/atom): 0
Magnetization (μB per formula unit): 0.0
ΔE_f (eV per atom): -0.185
Calculated total energy (eV/atom): -3.745
Symmetry: P4/mmm, No. 123
D(E_F) (states/eV/cell): 6.2

The following is a PBE calculation of a relaxed structure of PrTm2Zn4, from Alexandria.

Cell lengths 7.8013, 7.8013, 7.8013 Å; angles 142.78, 142.78, 53.66 degrees
Fractional coordinates of all 7 atoms:
Pr1 0.0000 0.0000 0.0000
Tm1 0.2589 0.2589 0.0000
Tm2 0.7411 0.7411 0.0000
Zn1 0.1278 0.6278 0.5000
Zn2 0.3723 0.8722 0.5000
Zn3 0.6278 0.1278 0.5000
Zn4 0.8722 0.3723 0.5000

Calculated values
Magnetization (μB per formula unit): 0.0
ΔE_f (eV per atom): -0.123
Calculated total energy (eV/atom): -2.811
Symmetry: I4/mmm, No. 139
D(E_F) (states/eV/cell): 4.2

The following is a PBE calculation of a relaxed structure of Pr2Tm3Zn2, from Alexandria.

Cell lengths 6.2626, 6.2626, 8.0788 Å; angles 115.18, 115.18, 44.49 degrees
Fractional coordinates of all 7 atoms:
Pr1 0.1366 0.1366 0.2917
Pr2 0.8634 0.8634 0.7083
Tm1 0.3656 0.3656 0.0386
Tm2 0.5000 0.5000 0.5000
Tm3 0.6344 0.6344 0.9614
Zn1 0.1419 0.1419 0.6944
Zn2 0.8581 0.8581 0.3056

Calculated values
Energy above the most stable polymorph in this dataset (meV/atom): 41
Magnetization (μB per formula unit): 0.0
ΔE_f (eV per atom): -0.092
Calculated total energy (eV/atom): -3.738
Symmetry: C2/m, No. 12
D(E_F) (states/eV/cell): 9.3

The following is a PBE calculation of a relaxed structure of Pr2Tm3Zn2, from Alexandria.

Cell lengths 15.3652, 15.3652, 3.5143 Å; angles 90.00, 90.00, 166.48 degrees
Fractional coordinates of all 7 atoms:
Pr1 0.1977 0.8023 0.0000
Pr2 0.8023 0.1977 0.0000
Tm1 0.0796 0.9204 0.0000
Tm2 0.5000 0.5000 0.5000
Tm3 0.9204 0.0796 0.0000
Zn1 0.3666 0.6334 0.5000
Zn2 0.6334 0.3666 0.5000

Calculated values
Energy above the most stable polymorph in this dataset (meV/atom): 0
Magnetization (μB per formula unit): 0.0
ΔE_f (eV per atom): -0.134
Calculated total energy (eV/atom): -3.780
Symmetry: Cmmm, No. 65
D(E_F) (states/eV/cell): 7.5

The following is a PBE calculation of a relaxed structure of Pr2TmZn, from Alexandria.

Cell lengths 10.7779, 10.7779, 10.7779 Å; angles 19.52, 19.52, 19.52 degrees
Fractional coordinates of all 4 atoms:
Pr1 0.2411 0.2411 0.2411
Pr2 0.7589 0.7589 0.7589
Tm1 0.0000 0.0000 0.0000
Zn1 0.5000 0.5000 0.5000

Calculated values
Energy above the most stable polymorph in this dataset (meV/atom): 146
Magnetization (μB per formula unit): 0.0
ΔE_f (eV per atom): -0.007
Calculated total energy (eV/atom): -3.833
Symmetry: R-3m, No. 166
D(E_F) (states/eV/cell): 4.5

The following is a PBE calculation of a relaxed structure of Pr3Tm5Zr12, from Alexandria.

Cell lengths 15.5072, 15.5072, 15.5072 Å; angles 109.47, 109.47, 109.47 degrees
Fractional coordinates of all 80 atoms:
Pr1 0.1250 0.2500 0.3750
Pr2 0.1250 0.3750 0.7500
Pr3 0.2500 0.3750 0.1250
Pr4 0.2500 0.8750 0.6250
Pr5 0.3750 0.1250 0.2500
Pr6 0.3750 0.7500 0.1250
Pr7 0.6250 0.2500 0.8750
Pr8 0.6250 0.8750 0.7500
Pr9 0.7500 0.1250 0.3750
Pr10 0.7500 0.6250 0.8750
Pr11 0.8750 0.6250 0.2500
Pr12 0.8750 0.7500 0.6250
Tm1 0.0000 0.0000 0.0000
Tm2 0.0000 0.0000 0.5000
Tm3 0.0000 0.5000 0.0000
Tm4 0.0000 0.5000 0.5000
Tm5 0.1250 0.7500 0.8750
Tm6 0.1250 0.8750 0.2500
Tm7 0.2500 0.1250 0.8750
Tm8 0.2500 0.6250 0.3750
Tm9 0.3750 0.2500 0.6250
Tm10 0.3750 0.6250 0.7500
Tm11 0.5000 0.0000 0.0000
Tm12 0.5000 0.0000 0.5000
Tm13 0.5000 0.5000 0.0000
Tm14 0.5000 0.5000 0.5000
Tm15 0.6250 0.3750 0.2500
Tm16 0.6250 0.7500 0.3750
Tm17 0.7500 0.3750 0.6250
Tm18 0.7500 0.8750 0.1250
Tm19 0.8750 0.1250 0.7500
Tm20 0.8750 0.2500 0.1250
Zr1 0.0656 0.6523 0.4257
Zr2 0.0656 0.9133 0.6399
Zr3 0.0743 0.7266 0.6399
Zr4 0.0743 0.8477 0.4344
Zr5 0.0867 0.2266 0.1523
Zr6 0.0867 0.3601 0.9344
Zr7 0.1399 0.2266 0.5743
Zr8 0.1399 0.4133 0.5656
Zr9 0.1523 0.0867 0.2266
Zr10 0.1523 0.5656 0.9257
Zr11 0.2266 0.1523 0.0867
Zr12 0.2266 0.5743 0.1399
Zr13 0.2734 0.3601 0.9257
Zr14 0.2734 0.4133 0.3477
Zr15 0.3477 0.2734 0.4133
Zr16 0.3477 0.5743 0.9344
Zr17 0.3601 0.9257 0.2734
Zr18 0.3601 0.9344 0.0867
Zr19 0.4133 0.3477 0.2734
Zr20 0.4133 0.5656 0.1399
Zr21 0.4257 0.0656 0.6523
Zr22 0.4257 0.8601 0.7734
Zr23 0.4344 0.0743 0.8477
Zr24 0.4344 0.8601 0.5867
Zr25 0.5656 0.1399 0.4133
Zr26 0.5656 0.9257 0.1523
Zr27 0.5743 0.1399 0.2266
Zr28 0.5743 0.9344 0.3477
Zr29 0.5867 0.4344 0.8601
Zr30 0.5867 0.6523 0.7266
Zr31 0.6399 0.0656 0.9133
Zr32 0.6399 0.0743 0.7266
Zr33 0.6523 0.4257 0.0656
Zr34 0.6523 0.7266 0.5867
Zr35 0.7266 0.5867 0.6523
Zr36 0.7266 0.6399 0.0743
Zr37 0.7734 0.4257 0.8601
Zr38 0.7734 0.8477 0.9133
Zr39 0.8477 0.4344 0.0743
Zr40 0.8477 0.9133 0.7734
Zr41 0.8601 0.5867 0.4344
Zr42 0.8601 0.7734 0.4257
Zr43 0.9133 0.6399 0.0656
Zr44 0.9133 0.7734 0.8477
Zr45 0.9257 0.1523 0.5656
Zr46 0.9257 0.2734 0.3601
Zr47 0.9344 0.0867 0.3601
Zr48 0.9344 0.3477 0.5743

Calculated values
Magnetization (μB per formula unit): 0.0
ΔE_f (eV per atom): 1.249
Calculated total energy (eV/atom): -5.715
Symmetry: Ia-3d, No. 230
D(E_F) (states/eV/cell): 131.9

The following is a PBE calculation of a relaxed structure of PrTm3Zr, from Alexandria.

Cell lengths 6.5767, 6.5767, 13.4393 Å; angles 94.03, 94.03, 30.89 degrees
Fractional coordinates of all 10 atoms:
Pr1 0.1618 0.1618 0.4119
Pr2 0.8382 0.8382 0.5881
Tm1 0.0304 0.0304 0.1661
Tm2 0.2331 0.2331 0.7997
Tm3 0.4281 0.4281 0.3748
Tm4 0.5719 0.5719 0.6252
Tm5 0.7669 0.7669 0.2003
Tm6 0.9696 0.9696 0.8339
Zr1 0.3600 0.3600 0.0149
Zr2 0.6400 0.6400 0.9851

Calculated values
Energy above the most stable polymorph in this dataset (meV/atom): 0
Magnetization (μB per formula unit): 0.0
ΔE_f (eV per atom): 0.051
Calculated total energy (eV/atom): -5.298
Symmetry: C2/m, No. 12
D(E_F) (states/eV/cell): 17.1

The following is a PBE calculation of a relaxed structure of PrTm4Zr, from Alexandria.

Cell lengths 4.7770, 4.7770, 9.3881 Å; angles 90.00, 90.00, 90.00 degrees
Fractional coordinates of all 6 atoms:
Pr1 0.0000 0.0000 0.0000
Tm1 0.0000 0.5000 0.2914
Tm2 0.0000 0.5000 0.7086
Tm3 0.5000 0.0000 0.2914
Tm4 0.5000 0.0000 0.7086
Zr1 0.5000 0.5000 0.5000

Calculated values
Magnetization (μB per formula unit): 0.4
ΔE_f (eV per atom): 0.670
Calculated total energy (eV/atom): -4.532
Symmetry: P4/mmm, No. 123
D(E_F) (states/eV/cell): 8.8

The following is a PBE calculation of a relaxed structure of PrTm3Zr, from Alexandria.

Cell lengths 6.0039, 6.9754, 7.6695 Å; angles 76.98, 75.64, 73.33 degrees
Fractional coordinates of all 10 atoms:
Pr1 0.0939 0.1640 0.2898
Pr2 0.9061 0.8360 0.7102
Tm1 0.1024 0.6453 0.2829
Tm2 0.3093 0.9399 0.9012
Tm3 0.4990 0.2624 0.5036
Tm4 0.5010 0.7376 0.4964
Tm5 0.6907 0.0601 0.0988
Tm6 0.8976 0.3547 0.7171
Zr1 0.3221 0.4557 0.8993
Zr2 0.6779 0.5443 0.1007

Calculated values
Energy above the most stable polymorph in this dataset (meV/atom): 22
Magnetization (μB per formula unit): 0.0
ΔE_f (eV per atom): 0.073
Calculated total energy (eV/atom): -5.275
Symmetry: P-1, No. 2
D(E_F) (states/eV/cell): 12.6

The following is a PBE calculation of a relaxed structure of Pr2Tm4Zr, from Alexandria.

Cell lengths 3.5419, 3.5419, 19.8392 Å; angles 95.13, 95.13, 60.00 degrees
Fractional coordinates of all 7 atoms:
Pr1 0.0000 0.0000 0.0000
Pr2 0.0998 0.0998 0.2975
Tm1 0.1966 0.1966 0.5894
Tm2 0.2823 0.2823 0.8481
Tm3 0.7155 0.7155 0.1462
Tm4 0.8164 0.8164 0.4461
Zr1 0.9061 0.9061 0.7190

Calculated values
Magnetization (μB per formula unit): 0.0
ΔE_f (eV per atom): 0.045
Calculated total energy (eV/atom): -5.097
Symmetry: Cm, No. 8
D(E_F) (states/eV/cell): 11.2

The following is a PBE calculation of a relaxed structure of Pr12Tm7Zr, from Alexandria.

Cell lengths 11.5206, 11.5206, 11.5206 Å; angles 116.84, 116.84, 116.84 degrees
Fractional coordinates of all 20 atoms:
Pr1 0.9995 0.4120 0.5876
Pr2 0.0005 0.5880 0.4124
Pr3 0.0711 0.4230 0.0716
Pr4 0.0716 0.0711 0.4230
Pr5 0.4124 0.0005 0.5880
Pr6 0.4120 0.5876 0.9995
Pr7 0.4230 0.0716 0.0711
Pr8 0.5770 0.9284 0.9289
Pr9 0.5876 0.9995 0.4120
Pr10 0.5880 0.4124 0.0005
Pr11 0.9284 0.9289 0.5770
Pr12 0.9289 0.5770 0.9284
Tm1 0.0000 0.0000 0.0000
Tm2 0.1470 0.3859 0.3865
Tm3 0.3865 0.1470 0.3859
Tm4 0.3859 0.3865 0.1470
Tm5 0.6141 0.6135 0.8530
Tm6 0.6135 0.8530 0.6141
Tm7 0.8530 0.6141 0.6135
Zr1 0.5000 0.5000 0.5000

Calculated values
Magnetization (μB per formula unit): 0.0
ΔE_f (eV per atom): 0.204
Calculated total energy (eV/atom): -4.656
Symmetry: R-3, No. 148
D(E_F) (states/eV/cell): 31.2

The following is a PBE calculation of a relaxed structure of PrU4, from Alexandria.

Cell lengths 5.4183, 5.4183, 5.4183 Å; angles 90.00, 90.00, 90.00 degrees
Fractional coordinates of all 5 atoms:
Pr1 0.0000 0.0000 0.0000
U1 0.0000 0.0000 0.5000
U2 0.0000 0.5000 0.0000
U3 0.5000 0.0000 0.0000
U4 0.5000 0.5000 0.5000

Calculated values
Magnetization (μB per formula unit): 11.9
ΔE_f (eV per atom): 1.890
Calculated total energy (eV/atom): -8.097
Symmetry: Pm-3m, No. 221
D(E_F) (states/eV/cell): 27.6

The following is a PBE calculation of a relaxed structure of PrU6, from Alexandria.

Cell lengths 6.1848, 6.1848, 6.1848 Å; angles 109.47, 109.47, 109.47 degrees
Fractional coordinates of all 7 atoms:
Pr1 0.0000 0.0000 0.0000
U1 0.2500 0.5000 0.7500
U2 0.2500 0.7500 0.5000
U3 0.5000 0.2500 0.7500
U4 0.5000 0.7500 0.2500
U5 0.7500 0.2500 0.5000
U6 0.7500 0.5000 0.2500

Calculated values
Magnetization (μB per formula unit): 1.4
ΔE_f (eV per atom): 0.757
Calculated total energy (eV/atom): -9.601
Symmetry: Im-3m, No. 229
D(E_F) (states/eV/cell): 25.0